Here is HfTi2Ru4 after structural relaxation from Alexandria via LeMat-Bulk. Energies are from GGA-PBE.

Unit cell a=6.175 b=6.175 c=6.058 alpha=90.00 beta=90.00 gamma=90.00
Space group I4/mmm (No. 139)
Unique sites:
Hf (0.000, 0.000, 0.000) x2
Ti (0.000, 0.500, 0.000) x4
Ru (0.250, 0.250, 0.250) x8

ΔH_f (0 K)   -179 meV/atom
Fermi-level density of states   0.910 states/eV/atom
Spin magnetization   0.0 μB per formula unit
Volume   16.5 Å³ per atom

***

Here is HfTi3Ru4 after structural relaxation from Alexandria via LeMat-Bulk. Energies are from GGA-PBE.

Unit cell a=3.124 b=4.426 c=8.831 alpha=90.00 beta=90.00 gamma=90.00
Space group Pmmm (No. 47)
Unique sites:
Hf (0.000, 0.000, 0.000) x1
Ti (0.000, 0.000, 0.500) x1
Ti (0.000, 0.500, 0.256) x2
Ru (0.500, 0.000, 0.258) x2
Ru (0.500, 0.500, 0.000) x1
Ru (0.500, 0.500, 0.500) x1

ΔH_f (0 K)   -753 meV/atom
Fermi-level density of states   0.223 states/eV/atom
Spin magnetization   0.0 μB per formula unit
Volume   15.3 Å³ per atom

***

Here is Hf3TiRu2 after structural relaxation from Alexandria via LeMat-Bulk. Energies are from GGA-PBE.

Unit cell a=3.240 b=3.240 c=10.261 alpha=90.00 beta=90.00 gamma=90.00
Space group P4/mmm (No. 123)
Unique sites:
Hf (0.000, 0.000, 0.000) x1
Hf (0.000, 0.000, 0.315) x2
Ti (0.500, 0.500, 0.500) x1
Ru (0.500, 0.500, 0.158) x2

ΔH_f (0 K)   -510 meV/atom
Fermi-level density of states   1.048 states/eV/atom
Spin magnetization   0.0 μB per formula unit
Volume   18.0 Å³ per atom

***

Here is HfTi2Ru after structural relaxation from Alexandria via LeMat-Bulk. Energies are from GGA-PBE.

Unit cell a=3.157 b=4.608 c=9.392 alpha=90.00 beta=90.00 gamma=90.00
Space group Immm (No. 71)
Unique sites:
Hf (0.000, 0.000, 0.000) x2
Ti (0.000, 0.500, 0.227) x4
Ru (0.000, 0.000, 0.500) x2

ΔH_f (0 K)   -410 meV/atom
Fermi-level density of states   1.215 states/eV/atom
Spin magnetization   0.0 μB per formula unit
Volume   17.1 Å³ per atom
Relative energy among the computed polymorphs   0.000 eV/atom

***

Here is HfTi2Ru after structural relaxation from Alexandria via LeMat-Bulk. Energies are from GGA-PBE.

Unit cell a=6.431 b=6.431 c=6.431 alpha=90.00 beta=90.00 gamma=90.00
Space group Fm-3m (No. 225)
Unique sites:
Hf (0.000, 0.000, 0.000) x4
Ti (0.250, 0.250, 0.250) x8
Ru (0.000, 0.000, 0.500) x4

ΔH_f (0 K)   -159 meV/atom
Fermi-level density of states   1.593 states/eV/atom
Spin magnetization   0.0 μB per formula unit
Volume   16.6 Å³ per atom
Relative energy among the computed polymorphs   0.251 eV/atom

***

Here is Hf2Ti2Ru after structural relaxation from Alexandria via LeMat-Bulk. Energies are from GGA-PBE.

Unit cell a=6.330 b=6.330 c=4.721 alpha=90.00 beta=90.00 gamma=90.00
Space group P4/mbm (No. 127)
Unique sites:
Hf (0.163, 0.337, 0.000) x4
Ti (0.149, 0.649, 0.500) x4
Ru (0.000, 0.000, 0.500) x2

ΔH_f (0 K)   -149 meV/atom
Fermi-level density of states   1.015 states/eV/atom
Spin magnetization   0.0 μB per formula unit
Volume   18.9 Å³ per atom

***

Here is HfTi2Ru3 after structural relaxation from Alexandria via LeMat-Bulk. Energies are from GGA-PBE.

Unit cell a=3.130 b=3.130 c=9.461 alpha=90.00 beta=90.00 gamma=90.00
Space group P4/mmm (No. 123)
Unique sites:
Hf (0.000, 0.000, 0.000) x1
Ti (0.000, 0.000, 0.338) x2
Ru (0.500, 0.500, 0.177) x2
Ru (0.500, 0.500, 0.500) x1

ΔH_f (0 K)   -756 meV/atom
Fermi-level density of states   0.290 states/eV/atom
Spin magnetization   0.0 μB per formula unit
Volume   15.5 Å³ per atom

***

Here is HfTiRu2 after structural relaxation from Alexandria via LeMat-Bulk. Energies are from GGA-PBE.

Unit cell a=3.164 b=3.164 c=6.331 alpha=90.00 beta=90.00 gamma=90.00
Space group P4/mmm (No. 123)
Unique sites:
Hf (0.000, 0.000, 0.000) x1
Ti (0.000, 0.000, 0.500) x1
Ru (0.500, 0.500, 0.261) x2

ΔH_f (0 K)   -760 meV/atom
Fermi-level density of states   0.385 states/eV/atom
Spin magnetization   0.0 μB per formula unit
Volume   15.8 Å³ per atom